! PBE CaHgGe2S6, relaxed; values from VASP
! uncorrected formation energy = -611.8 meV per atom
! N(E_F) = 0.0 states/eV/f.u.
&SYSTEM
  ibrav = 0, nat = 20, ntyp = 4
/
ATOMIC_SPECIES
Ca 40.08 Ca.upf
Hg 200.59 Hg.upf
Ge 72.64 Ge.upf
S 32.06 S.upf
CELL_PARAMETERS angstrom
6.4901 -6.1693 0.0000
6.4901 6.1693 0.0000
-2.3332 0.0000 6.3313
ATOMIC_POSITIONS crystal
Ca 0.1139 0.8861 0.7500
Ca 0.8861 0.1139 0.2500
Hg 0.2809 0.7191 0.2500
Hg 0.7191 0.2809 0.7500
Ge 0.2243 0.3677 0.7719
Ge 0.3677 0.2243 0.2719
Ge 0.6323 0.7757 0.7281
Ge 0.7757 0.6323 0.2281
S 0.0440 0.1892 0.6718
S 0.1292 0.6019 0.8990
S 0.1892 0.0440 0.1718
S 0.3130 0.4305 0.5132
S 0.3981 0.8708 0.6010
S 0.4305 0.3130 0.0132
S 0.5695 0.6870 0.9868
S 0.6019 0.1292 0.3990
S 0.6870 0.5695 0.4868
S 0.8108 0.9560 0.8282
S 0.8708 0.3981 0.1010
S 0.9560 0.8108 0.3282

=====

! PBE Cs2SiAgBr6, relaxed; values from VASP
! uncorrected formation energy = -1000.3 meV per atom
! N(E_F) = 1.8 states/eV/f.u.
&SYSTEM
  ibrav = 0, nat = 10, ntyp = 4
/
ATOMIC_SPECIES
Cs 132.91 Cs.upf
Si 28.09 Si.upf
Ag 107.87 Ag.upf
Br 79.90 Br.upf
CELL_PARAMETERS angstrom
-3.8534 3.8534 5.4791
3.8534 -3.8534 5.4791
3.8534 3.8534 -5.4791
ATOMIC_POSITIONS crystal
Cs 0.2500 0.7500 0.5000
Cs 0.7500 0.2500 0.5000
Si 0.0000 0.0000 0.0000
Ag 0.5000 0.5000 0.0000
Br 0.2367 0.2367 0.0000
Br 0.2376 0.2376 0.4752
Br 0.2376 0.7624 0.0000
Br 0.7624 0.2376 0.0000
Br 0.7624 0.7624 0.5248
Br 0.7633 0.7633 0.0000

=====

Question: What is the formula in the second record?
Answer: Cs2SiAgBr6

=====

Question: Which value of N(E_F) does entry 2 give?
Answer: 1.8 states/eV/f.u.